Entry 1:
First-principles (PBE) data for a relaxed structure of RbLiTl11, as listed in Alexandria via LeMat-Bulk.

Cell: 8.6231 8.6231 8.5126 Å, 96.48 96.48 137.10°
Closest atoms and distances in Å follow each position.
Positions (direct):
Rb  0.0000  0.0000  0.0000  18 Tl 3.98-4.31, 2 Li 4.45
Li  0.5000  0.5000  0.5000  10 Tl 3.11-3.48
Tl  0.0000  0.0000  0.5000  2 Li 3.15, 8 Tl 3.34-3.42
Tl  0.0000  0.5000  0.0000  8 Tl 3.15-3.44
Tl  0.0037  0.3599  0.3617  5 Tl 3.22-3.58, 1 Li 3.48
Tl  0.2976  0.5072  0.7771  1 Li 3.11, 5 Tl 3.33-3.40
Tl  0.3599  0.0037  0.3617  5 Tl 3.22-3.58, 1 Li 3.48
Tl  0.4928  0.7024  0.2229  1 Li 3.11, 5 Tl 3.33-3.40
Tl  0.5000  0.0000  0.0000  8 Tl 3.15-3.44
Tl  0.5072  0.2976  0.7771  1 Li 3.11, 5 Tl 3.33-3.40
Tl  0.6401  0.9963  0.6383  5 Tl 3.22-3.58, 1 Li 3.48
Tl  0.7024  0.4928  0.2229  1 Li 3.11, 5 Tl 3.33-3.40
Tl  0.9963  0.6401  0.6383  5 Tl 3.22-3.58, 1 Li 3.48

Formation energy from the elements in eV per formula unit: -0.52
Space group: C2/m, No. 12
DOS at the Fermi energy in states/eV per cell: 6.7
Total magnetic moment in Bohr magnetons per cell: 0.00

---

Entry 2:
First-principles (PBE) data for a relaxed structure of Rb2LiTl2, as listed in Alexandria via LeMat-Bulk.

Cell: 7.9551 7.9551 6.3819 Å, 90.00 90.00 90.00°
Closest atoms and distances in Å follow each position.
Positions (direct):
Rb  0.1806  0.3194  0.0000  6 Tl 3.80-4.08, 5 Rb 4.06-4.13
Rb  0.3194  0.8194  0.0000  6 Tl 3.80-4.08, 5 Rb 4.06-4.13
Rb  0.6806  0.1806  0.0000  6 Tl 3.80-4.08, 5 Rb 4.06-4.13
Rb  0.8194  0.6806  0.0000  6 Tl 3.80-4.08, 5 Rb 4.06-4.13
Li  0.0000  0.0000  0.5000  4 Tl 3.09
Li  0.5000  0.5000  0.5000  4 Tl 3.09
Tl  0.1363  0.6363  0.5000  1 Tl 3.07, 2 Li 3.09
Tl  0.3637  0.1363  0.5000  1 Tl 3.07, 2 Li 3.09
Tl  0.6363  0.8637  0.5000  1 Tl 3.07, 2 Li 3.09
Tl  0.8637  0.3637  0.5000  1 Tl 3.07, 2 Li 3.09

Formation energy from the elements in eV per formula unit: 0.06
Space group: P4/mbm, No. 127
DOS at the Fermi energy in states/eV per cell: 6.3
ΔE to the lowest computed polymorph in eV/atom: 0.111
Total magnetic moment in Bohr magnetons per cell: 0.00

---

Entry 3:
First-principles (PBE) data for a relaxed structure of RbLi3Tl, as listed in Alexandria via LeMat-Bulk.

Cell: 5.7830 5.7830 5.7830 Å, 90.00 90.00 90.00°
Closest atoms and distances in Å follow each position.
Positions (direct):
Rb  0.0000  0.0000  0.0000  6 Li 2.89
Li  0.0000  0.0000  0.5000  2 Rb 2.89
Li  0.0000  0.5000  0.0000  2 Rb 2.89
Li  0.5000  0.0000  0.0000  2 Rb 2.89
Tl  0.5000  0.5000  0.5000  12 Li 4.09

Formation energy from the elements in eV per formula unit: 3.41
Space group: Pm-3m, No. 221
DOS at the Fermi energy in states/eV per cell: 3.1
ΔE to the lowest computed polymorph in eV/atom: 0.674
Total magnetic moment in Bohr magnetons per cell: 0.00

---

Entry 4:
First-principles (PBE) data for a relaxed structure of RbLiTl4, as listed in Alexandria via LeMat-Bulk.

Cell: 6.6158 6.6158 6.6158 Å, 60.00 60.00 60.00°
Closest atoms and distances in Å follow each position.
Positions (direct):
Rb  0.0000  0.0000  0.0000  12 Tl 3.88, 4 Li 4.05
Li  0.2500  0.2500  0.2500  12 Tl 3.88, 4 Rb 4.05
Tl  0.1277  0.6241  0.6241  6 Tl 3.28-3.33
Tl  0.6241  0.1277  0.6241  6 Tl 3.28-3.33
Tl  0.6241  0.6241  0.1277  6 Tl 3.28-3.33
Tl  0.6241  0.6241  0.6241  6 Tl 3.28-3.33

Formation energy from the elements in eV per formula unit: -0.01
Space group: F-43m, No. 216
DOS at the Fermi energy in states/eV per cell: 4.5
ΔE to the lowest computed polymorph in eV/atom: 0.098
Total magnetic moment in Bohr magnetons per cell: 0.00